No. 1
# Pr3Tm2

Pr3Tm2 after structural relaxation (PBE, the Alexandria database).

Lattice parameters (Å, degrees): 9.456 9.456 9.456 140.10 56.98 141.06
Sites, in units of the cell vectors:
Pr (0.101, 0.599, 0.700)
Pr (0.250, 0.250, 0.000)
Pr (0.399, 0.099, 0.498)
Pr (0.601, 0.901, 0.502)
Pr (0.750, 0.750, 0.000)
Pr (0.899, 0.401, 0.300)
Tm (0.195, 0.127, 0.322)
Tm (0.305, 0.627, 0.932)
Tm (0.695, 0.373, 0.068)
Tm (0.805, 0.873, 0.678)

Values from the calculation:
- V (Å³/atom) = 33.810
- E_form (eV per atom) = 0.1570
- crystal system = orthorhombic

=====

No. 2
# Pr7Tm

Pr7Tm after structural relaxation (PBE, the Alexandria database).

Lattice parameters (Å, degrees): 7.367 7.367 7.367 60.00 60.00 60.00
Sites, in units of the cell vectors:
Pr (0.000, 0.000, 0.000)
Pr (0.000, 0.000, 0.500)
Pr (0.000, 0.500, 0.000)
Pr (0.000, 0.500, 0.500)
Pr (0.500, 0.000, 0.000)
Pr (0.500, 0.000, 0.500)
Pr (0.500, 0.500, 0.000)
Tm (0.500, 0.500, 0.500)

Values from the calculation:
- V (Å³/atom) = 35.345
- E_form (eV per atom) = 0.0086
- crystal system = cubic

=====

No. 3
# Pr6Tm7

Pr6Tm7 after structural relaxation (PBE, the Alexandria database).

Lattice parameters (Å, degrees): 12.187 12.187 12.187 31.99 31.99 31.99
Sites, in units of the cell vectors:
Pr (0.050, 0.050, 0.050)
Pr (0.153, 0.153, 0.153)
Pr (0.333, 0.333, 0.333)
Pr (0.667, 0.667, 0.667)
Pr (0.847, 0.847, 0.847)
Pr (0.950, 0.950, 0.950)
Tm (0.086, 0.589, 0.589)
Tm (0.411, 0.411, 0.914)
Tm (0.411, 0.914, 0.411)
Tm (0.500, 0.500, 0.500)
Tm (0.589, 0.086, 0.589)
Tm (0.589, 0.589, 0.086)
Tm (0.914, 0.411, 0.411)

Values from the calculation:
- V (Å³/atom) = 34.711
- E_form (eV per atom) = 0.2514
- crystal system = trigonal

=====

No. 4
# PrTm2

PrTm2 after structural relaxation (PBE, the Alexandria database).

Lattice parameters (Å, degrees): 6.661 6.661 6.661 60.00 60.00 60.00
Sites, in units of the cell vectors:
Pr (0.125, 0.125, 0.125)
Pr (0.875, 0.875, 0.875)
Tm (0.000, 0.500, 0.500)
Tm (0.500, 0.000, 0.500)
Tm (0.500, 0.500, 0.000)
Tm (0.500, 0.500, 0.500)

Values from the calculation:
- V (Å³/atom) = 34.832
- E_form (eV per atom) = 0.2744
- excess energy over the best structure of this formula in the dataset (eV/atom) = 0.278
- crystal system = cubic

=====

No. 5
# Pr6Tm

Pr6Tm after structural relaxation (PBE, the Alexandria database).

Lattice parameters (Å, degrees): 7.175 7.175 7.175 109.47 109.47 109.47
Sites, in units of the cell vectors:
Pr (0.250, 0.500, 0.750)
Pr (0.250, 0.750, 0.500)
Pr (0.500, 0.250, 0.750)
Pr (0.500, 0.750, 0.250)
Pr (0.750, 0.250, 0.500)
Pr (0.750, 0.500, 0.250)
Tm (0.000, 0.000, 0.000)

Values from the calculation:
- V (Å³/atom) = 40.619
- E_form (eV per atom) = 1.2604
- crystal system = cubic

=====

No. 6
# Pr2Tm17

Pr2Tm17 after structural relaxation (PBE, the Alexandria database).

Lattice parameters (Å, degrees): 8.633 8.633 8.633 81.06 81.06 81.06
Sites, in units of the cell vectors:
Pr (0.168, 0.168, 0.168)
Pr (0.832, 0.832, 0.832)
Tm (0.000, 0.500, 0.500)
Tm (0.139, 0.139, 0.648)
Tm (0.139, 0.648, 0.139)
Tm (0.201, 0.500, 0.799)
Tm (0.201, 0.799, 0.500)
Tm (0.352, 0.861, 0.861)
Tm (0.399, 0.399, 0.399)
Tm (0.500, 0.000, 0.500)
Tm (0.500, 0.201, 0.799)
Tm (0.500, 0.500, 0.000)
Tm (0.500, 0.799, 0.201)
Tm (0.601, 0.601, 0.601)
Tm (0.648, 0.139, 0.139)
Tm (0.799, 0.201, 0.500)
Tm (0.799, 0.500, 0.201)
Tm (0.861, 0.352, 0.861)
Tm (0.861, 0.861, 0.352)

Values from the calculation:
- V (Å³/atom) = 32.748
- E_form (eV per atom) = 0.2764
- crystal system = trigonal

=====

No. 7
# PrTm2

PrTm2 after structural relaxation (PBE, the Alexandria database).

Lattice parameters (Å, degrees): 7.976 7.976 7.976 154.15 154.15 36.88
Sites, in units of the cell vectors:
Pr (0.000, 0.000, 0.000)
Tm (0.330, 0.330, 0.000)
Tm (0.670, 0.670, 0.000)

Values from the calculation:
- V (Å³/atom) = 32.100
- E_form (eV per atom) = 0.0310
- excess energy over the best structure of this formula in the dataset (eV/atom) = 0.034
- crystal system = tetragonal

=====

No. 8
# Pr4Tm

Pr4Tm after structural relaxation (PBE, the Alexandria database).

Lattice parameters (Å, degrees): 13.171 13.171 13.171 163.93 163.93 22.80
Sites, in units of the cell vectors:
Pr (0.096, 0.096, 0.000)
Pr (0.302, 0.302, 0.000)
Pr (0.698, 0.698, 0.000)
Pr (0.904, 0.904, 0.000)
Tm (0.500, 0.500, 0.000)

Values from the calculation:
- V (Å³/atom) = 35.001
- E_form (eV per atom) = 0.0211
- excess energy over the best structure of this formula in the dataset (eV/atom) = 0.006
- crystal system = tetragonal

=====

No. 9
# Pr3Tm5

Pr3Tm5 after structural relaxation (PBE, the Alexandria database).

Lattice parameters (Å, degrees): 3.577 3.577 20.206 90.00 90.00 90.00
Sites, in units of the cell vectors:
Pr (0.000, 0.000, 0.000)
Pr (0.500, 0.500, 0.374)
Pr (0.500, 0.500, 0.626)
Tm (0.000, 0.000, 0.247)
Tm (0.000, 0.000, 0.500)
Tm (0.000, 0.000, 0.753)
Tm (0.500, 0.500, 0.127)
Tm (0.500, 0.500, 0.873)

Values from the calculation:
- V (Å³/atom) = 32.324
- E_form (eV per atom) = 0.0298
- crystal system = tetragonal

=====

No. 10
# Pr13Tm2

Pr13Tm2 after structural relaxation (PBE, the Alexandria database).

Lattice parameters (Å, degrees): 12.587 12.587 12.587 33.58 33.58 33.58
Sites, in units of the cell vectors:
Pr (0.000, 0.000, 0.000)
Pr (0.042, 0.547, 0.547)
Pr (0.205, 0.712, 0.712)
Pr (0.288, 0.288, 0.795)
Pr (0.288, 0.795, 0.288)
Pr (0.453, 0.453, 0.958)
Pr (0.453, 0.958, 0.453)
Pr (0.547, 0.042, 0.547)
Pr (0.547, 0.547, 0.042)
Pr (0.712, 0.205, 0.712)
Pr (0.712, 0.712, 0.205)
Pr (0.795, 0.288, 0.288)
Pr (0.958, 0.453, 0.453)
Tm (0.206, 0.206, 0.206)
Tm (0.794, 0.794, 0.794)

Values from the calculation:
- V (Å³/atom) = 36.218
- E_form (eV per atom) = 0.1345
- excess energy over the best structure of this formula in the dataset (eV/atom) = 0.080
- crystal system = trigonal

=====

No. 11
# Pr3Tm4

Pr3Tm4 after structural relaxation (PBE, the Alexandria database).

Lattice parameters (Å, degrees): 6.214 6.214 8.021 97.66 97.66 48.17
Sites, in units of the cell vectors:
Pr (0.000, 0.000, 0.000)
Pr (0.287, 0.287, 0.852)
Pr (0.713, 0.713, 0.148)
Tm (0.142, 0.142, 0.430)
Tm (0.427, 0.427, 0.293)
Tm (0.573, 0.573, 0.707)
Tm (0.858, 0.858, 0.570)

Values from the calculation:
- V (Å³/atom) = 32.622
- E_form (eV per atom) = 0.0278
- excess energy over the best structure of this formula in the dataset (eV/atom) = 0.003
- crystal system = monoclinic

=====

No. 12
# Pr4Tm5

Pr4Tm5 after structural relaxation (PBE, the Alexandria database).

Lattice parameters (Å, degrees): 9.479 9.479 9.479 158.13 110.61 73.74
Sites, in units of the cell vectors:
Pr (0.001, 0.834, 0.167)
Pr (0.333, 0.166, 0.167)
Pr (0.667, 0.834, 0.833)
Pr (0.999, 0.166, 0.833)
Tm (0.000, 0.500, 0.500)
Tm (0.337, 0.500, 0.837)
Tm (0.337, 0.837, 0.500)
Tm (0.663, 0.163, 0.500)
Tm (0.663, 0.500, 0.163)

Values from the calculation:
- V (Å³/atom) = 32.701
- E_form (eV per atom) = 0.0263
- crystal system = orthorhombic

=====

No. 13
# Pr4Tm

Pr4Tm after structural relaxation (PBE, the Alexandria database).

Lattice parameters (Å, degrees): 5.879 5.879 5.879 90.00 90.00 90.00
Sites, in units of the cell vectors:
Pr (0.000, 0.000, 0.000)
Pr (0.000, 0.500, 0.500)
Pr (0.500, 0.000, 0.500)
Pr (0.500, 0.500, 0.000)
Tm (0.500, 0.500, 0.500)

Values from the calculation:
- V (Å³/atom) = 40.629
- E_form (eV per atom) = 0.6237
- excess energy over the best structure of this formula in the dataset (eV/atom) = 0.609
- crystal system = cubic

=====

No. 14
# Pr4Tm5

Pr4Tm5 after structural relaxation (PBE, the Alexandria database).

Lattice parameters (Å, degrees): 8.035 8.035 8.035 95.66 95.66 143.38
Sites, in units of the cell vectors:
Pr (0.166, 0.166, 0.333)
Pr (0.166, 0.834, 0.000)
Pr (0.834, 0.166, 0.000)
Pr (0.834, 0.834, 0.667)
Tm (0.164, 0.500, 0.664)
Tm (0.500, 0.164, 0.664)
Tm (0.500, 0.500, 0.000)
Tm (0.500, 0.836, 0.336)
Tm (0.836, 0.500, 0.336)

Values from the calculation:
- V (Å³/atom) = 32.641
- E_form (eV per atom) = 0.0249
- crystal system = tetragonal

=====

No. 15
# Pr2Tm7

Pr2Tm7 after structural relaxation (PBE, the Alexandria database).

Lattice parameters (Å, degrees): 6.131 6.131 8.654 90.00 90.00 120.00
Sites, in units of the cell vectors:
Pr (0.333, 0.667, 0.000)
Pr (0.667, 0.333, 0.000)
Tm (0.000, 0.000, 0.000)
Tm (0.000, 0.332, 0.663)
Tm (0.000, 0.668, 0.337)
Tm (0.332, 0.000, 0.663)
Tm (0.332, 0.332, 0.337)
Tm (0.668, 0.000, 0.337)
Tm (0.668, 0.668, 0.663)

Values from the calculation:
- V (Å³/atom) = 31.300
- E_form (eV per atom) = 0.0266
- crystal system = trigonal

=====

No. 16
# PrTmU

PrTmU after structural relaxation (PBE, the Alexandria database).

Lattice parameters (Å, degrees): 8.670 8.670 5.922 100.38 100.38 24.20
Sites, in units of the cell vectors:
Pr (0.114, 0.114, 0.317)
Pr (0.886, 0.886, 0.683)
Tm (0.427, 0.427, 0.200)
Tm (0.573, 0.573, 0.800)
U (0.240, 0.240, 0.851)
U (0.760, 0.760, 0.149)

Values from the calculation:
- V (Å³/atom) = 29.894
- E_form (eV per atom) = 0.2502
- crystal system = monoclinic

=====

No. 17
# Pr2TmV

Pr2TmV after structural relaxation (PBE, the Alexandria database).

Lattice parameters (Å, degrees): 11.634 11.634 11.634 17.17 17.17 17.17
Sites, in units of the cell vectors:
Pr (0.099, 0.099, 0.099)
Pr (0.901, 0.901, 0.901)
Tm (0.000, 0.000, 0.000)
V (0.500, 0.500, 0.500)

Values from the calculation:
- V (Å³/atom) = 29.933
- E_form (eV per atom) = 0.5384
- crystal system = trigonal

=====

No. 18
# PrTmV4

PrTmV4 after structural relaxation (PBE, the Alexandria database).

Lattice parameters (Å, degrees): 5.399 5.399 5.399 60.00 60.00 60.00
Sites, in units of the cell vectors:
Pr (0.000, 0.000, 0.000)
Tm (0.750, 0.750, 0.750)
V (0.380, 0.380, 0.380)
V (0.380, 0.380, 0.860)
V (0.380, 0.860, 0.380)
V (0.860, 0.380, 0.380)

Values from the calculation:
- V (Å³/atom) = 18.542
- E_form (eV per atom) = 0.3796
- crystal system = cubic

=====

No. 19
# PrTmV

PrTmV after structural relaxation (PBE, the Alexandria database).

Lattice parameters (Å, degrees): 3.652 3.652 12.182 90.00 90.00 90.00
Sites, in units of the cell vectors:
Pr (0.250, 0.250, 0.113)
Pr (0.750, 0.750, 0.887)
Tm (0.250, 0.250, 0.399)
Tm (0.750, 0.750, 0.601)
V (0.250, 0.250, 0.734)
V (0.750, 0.750, 0.266)

Values from the calculation:
- V (Å³/atom) = 27.074
- E_form (eV per atom) = 0.2925
- crystal system = tetragonal

=====

No. 20
# Pr2TmW

Pr2TmW after structural relaxation (PBE, the Alexandria database).

Lattice parameters (Å, degrees): 12.183 12.183 12.183 15.35 15.35 15.35
Sites, in units of the cell vectors:
Pr (0.080, 0.080, 0.080)
Pr (0.920, 0.920, 0.920)
Tm (0.500, 0.500, 0.500)
W (0.000, 0.000, 0.000)

Values from the calculation:
- V (Å³/atom) = 27.583
- E_form (eV per atom) = 0.9291
- crystal system = trigonal